# 1
This record from Alexandria describes an optimized crystal structure of AcAl4S8. The functional is PBE.

a b c (Å): 7.465 7.465 7.465
angles (deg): 60.00 60.00 60.00
Fractional coordinates of all 13 atoms:
Ac (0.000, 0.000, 0.000)
Al (0.152, 0.616, 0.616)
Al (0.616, 0.152, 0.616)
Al (0.616, 0.616, 0.152)
Al (0.616, 0.616, 0.616)
S (0.386, 0.386, 0.386)
S (0.386, 0.386, 0.841)
S (0.386, 0.841, 0.386)
S (0.446, 0.851, 0.851)
S (0.841, 0.386, 0.386)
S (0.851, 0.446, 0.851)
S (0.851, 0.851, 0.446)
S (0.851, 0.851, 0.851)

Values from the calculation:
* crystal system: cubic
* raw formation energy: -0.98 eV per atom
* symmetry: F-43m
* total magnetization: 0.0 Bohr magnetons per cell


# 2
This record from Alexandria describes an optimized crystal structure of AcAlS4. The functional is PBE.

a b c (Å): 5.938 7.120 7.466
angles (deg): 90.00 94.68 90.00
Fractional coordinates of all 12 atoms:
Ac (0.000, 0.224, 0.250)
Ac (0.000, 0.776, 0.750)
Al (0.500, 0.233, 0.750)
Al (0.500, 0.767, 0.250)
S (0.232, 0.086, 0.589)
S (0.232, 0.914, 0.089)
S (0.344, 0.442, 0.946)
S (0.344, 0.558, 0.446)
S (0.656, 0.442, 0.554)
S (0.656, 0.558, 0.054)
S (0.768, 0.086, 0.911)
S (0.768, 0.914, 0.411)

Values from the calculation:
* crystal system: monoclinic
* raw formation energy: -1.27 eV per atom
* symmetry: P2/c
* total magnetization: 0.0 Bohr magnetons per cell


# 3
This record from Alexandria describes an optimized crystal structure of AcAl6S8. The functional is PBE.

a b c (Å): 6.783 6.783 6.783
angles (deg): 93.31 93.31 93.31
Fractional coordinates of all 15 atoms:
Ac (0.000, 0.000, 0.000)
Al (0.257, 0.336, 0.614)
Al (0.336, 0.614, 0.257)
Al (0.386, 0.743, 0.664)
Al (0.614, 0.257, 0.336)
Al (0.664, 0.386, 0.743)
Al (0.743, 0.664, 0.386)
S (0.080, 0.777, 0.390)
S (0.223, 0.610, 0.920)
S (0.272, 0.272, 0.272)
S (0.390, 0.080, 0.777)
S (0.610, 0.920, 0.223)
S (0.728, 0.728, 0.728)
S (0.777, 0.390, 0.080)
S (0.920, 0.223, 0.610)

Values from the calculation:
* crystal system: trigonal
* raw formation energy: -0.90 eV per atom
* symmetry: R-3
* total magnetization: 0.0 Bohr magnetons per cell


# 4
This record from Alexandria describes an optimized crystal structure of Ac2AlS. The functional is PBE.

a b c (Å): 5.617 5.617 3.651
angles (deg): 90.00 90.00 90.00
Fractional coordinates of all 4 atoms:
Ac (0.000, 0.500, 0.000)
Ac (0.500, 0.000, 0.000)
Al (0.000, 0.000, 0.500)
S (0.500, 0.500, 0.500)

Values from the calculation:
* crystal system: tetragonal
* raw formation energy: -0.82 eV per atom
* symmetry: P4/mmm
* total magnetization: 0.0 Bohr magnetons per cell


# 5
This record from Alexandria describes an optimized crystal structure of AcAl6S12. The functional is PBE.

a b c (Å): 8.570 8.570 8.570
angles (deg): 113.67 113.67 113.67
Fractional coordinates of all 19 atoms:
Ac (0.000, 0.000, 0.000)
Al (0.231, 0.231, 0.562)
Al (0.231, 0.562, 0.231)
Al (0.438, 0.769, 0.769)
Al (0.562, 0.231, 0.231)
Al (0.769, 0.438, 0.769)
Al (0.769, 0.769, 0.438)
S (0.104, 0.500, 0.896)
S (0.104, 0.896, 0.500)
S (0.126, 0.393, 0.393)
S (0.393, 0.126, 0.393)
S (0.393, 0.393, 0.126)
S (0.500, 0.104, 0.896)
S (0.500, 0.896, 0.104)
S (0.607, 0.607, 0.874)
S (0.607, 0.874, 0.607)
S (0.874, 0.607, 0.607)
S (0.896, 0.104, 0.500)
S (0.896, 0.500, 0.104)

Values from the calculation:
* crystal system: trigonal
* raw formation energy: -0.58 eV per atom
* symmetry: R-3m
* total magnetization: 0.0 Bohr magnetons per cell


# 6
This record from Alexandria describes an optimized crystal structure of Ac2AlS4. The functional is PBE.

a b c (Å): 6.898 6.558 8.153
angles (deg): 90.00 107.37 90.00
Fractional coordinates of all 14 atoms:
Ac (0.234, 0.250, 0.060)
Ac (0.257, 0.250, 0.563)
Ac (0.743, 0.750, 0.437)
Ac (0.766, 0.750, 0.940)
Al (0.230, 0.750, 0.805)
Al (0.770, 0.250, 0.195)
S (0.003, 0.005, 0.744)
S (0.003, 0.495, 0.744)
S (0.403, 0.750, 0.088)
S (0.408, 0.750, 0.613)
S (0.592, 0.250, 0.387)
S (0.597, 0.250, 0.912)
S (0.997, 0.505, 0.256)
S (0.997, 0.995, 0.256)

Values from the calculation:
* crystal system: monoclinic
* raw formation energy: -1.72 eV per atom
* symmetry: P2_1/m
* total magnetization: 0.0 Bohr magnetons per cell


Please write out number 4 again, unchanged.
This record from Alexandria describes an optimized crystal structure of Ac2AlS. The functional is PBE.

a b c (Å): 5.617 5.617 3.651
angles (deg): 90.00 90.00 90.00
Fractional coordinates of all 4 atoms:
Ac (0.000, 0.500, 0.000)
Ac (0.500, 0.000, 0.000)
Al (0.000, 0.000, 0.500)
S (0.500, 0.500, 0.500)

Values from the calculation:
* crystal system: tetragonal
* raw formation energy: -0.82 eV per atom
* symmetry: P4/mmm
* total magnetization: 0.0 Bohr magnetons per cell